Density functional theory data (meta-GGA SCAN) for TlNiIr2 at its PBEsol-relaxed geometry.

Properties
ΔH_f (0 K): 0.5085 eV per atom
N(E_F): 0.758 states/eV/atom
Relative energy among the computed polymorphs: 0.128 eV per atom
Calculated density: 18.0 g cm⁻³

```
TlNiIr2
1.0
3.965 0.000 0.000
0.000 3.965 0.000
-1.982 -1.982 3.795
Ni Ir Tl
1 2 1
Direct
0.500 0.500 0.000
0.750 0.250 0.500
0.000 0.000 0.000
0.250 0.750 0.500
```

=====

Density functional theory data (meta-GGA SCAN) for TlNiIr at its PBEsol-relaxed geometry.

Properties
ΔH_f (0 K): 1.0156 eV per atom
N(E_F): 0.951 states/eV/atom
Calculated density: 13.8 g cm⁻³

```
TlNiIr
1.0
-3.565 1.696 -1.604
-3.559 -2.334 -0.218
-3.285 0.879 2.569
Ir Tl Ni
1 1 1
Direct
0.000 0.000 0.000
0.250 0.250 0.250
0.500 0.500 0.500
```

=====

Density functional theory data (meta-GGA SCAN) for Ni4IrW at its PBEsol-relaxed geometry.

Properties
ΔH_f (0 K): -0.0728 eV per atom
N(E_F): 0.696 states/eV/atom
Calculated density: 14.7 g cm⁻³

```
Ni4IrW
1.0
4.608 0.000 0.000
2.304 3.991 0.000
2.304 1.330 3.763
Ir Ni W
1 4 1
Direct
0.000 0.000 0.000
0.375 0.375 0.875
0.375 0.875 0.375
0.375 0.375 0.375
0.875 0.375 0.375
0.750 0.750 0.750
```

=====

Density functional theory data (meta-GGA SCAN) for Ni2IrW at its PBEsol-relaxed geometry.

Properties
ΔH_f (0 K): -0.2134 eV per atom
N(E_F): 0.577 states/eV/atom
Calculated density: 16.3 g cm⁻³

```
Ni2IrW
1.0
-2.623 -1.410 2.146
0.072 -3.107 -1.954
3.887 0.881 2.190
Ni W Ir
2 1 1
Direct
0.750 0.250 0.500
0.000 0.000 0.000
0.500 0.500 0.000
0.250 0.750 0.500
```

=====

Density functional theory data (meta-GGA SCAN) for Ni2IrW at its PBEsol-relaxed geometry.

Properties
ΔH_f (0 K): -0.1040 eV per atom
N(E_F): 0.933 states/eV/atom
Calculated density: 16.3 g cm⁻³

```
Ni2IrW
1.0
3.681 0.000 0.000
0.000 3.681 0.000
-1.840 -1.840 3.717
Ni W Ir
2 1 1
Direct
0.250 0.750 0.500
0.750 0.250 0.500
0.500 0.500 0.000
0.000 0.000 0.000
```

=====

Density functional theory data (meta-GGA SCAN) for NiIr3W at its PBEsol-relaxed geometry.

Properties
ΔH_f (0 K): 1.7597 eV per atom
N(E_F): 0.946 states/eV/atom
Calculated density: 16.9 g cm⁻³

```
NiIr3W
1.0
4.318 0.000 0.000
0.000 4.318 0.000
0.000 0.000 4.318
Ir Ni W
3 1 1
Direct
0.000 0.000 0.500
0.500 0.000 0.000
0.000 0.500 0.000
0.000 0.000 0.000
0.500 0.500 0.500
```

=====

Density functional theory data (meta-GGA SCAN) for NiIrW at its PBEsol-relaxed geometry.

Properties
ΔH_f (0 K): -0.2328 eV per atom
N(E_F): 0.686 states/eV/atom
Relative energy among the computed polymorphs: 0.000 eV per atom
Calculated density: 18.0 g cm⁻³

```
NiIrW
1.0
-0.663 -1.398 -2.237
-2.371 -2.046 1.981
-1.388 4.339 -0.646
Ir Ni W
1 1 1
Direct
0.002 0.002 0.003
0.667 0.667 0.334
0.331 0.331 0.663
```

=====

Density functional theory data (meta-GGA SCAN) for NiIrW at its PBEsol-relaxed geometry.

Properties
ΔH_f (0 K): -0.0508 eV per atom
N(E_F): 0.965 states/eV/atom
Relative energy among the computed polymorphs: 0.182 eV per atom
Calculated density: 17.9 g cm⁻³

```
NiIrW
1.0
-2.613 -0.095 0.797
0.205 -2.703 0.348
2.733 2.173 4.533
W Ir Ni
1 1 1
Direct
0.329 0.329 0.658
0.003 0.003 0.005
0.668 0.668 0.337
```

=====

Density functional theory data (meta-GGA SCAN) for NiIrW at its PBEsol-relaxed geometry.

Properties
ΔH_f (0 K): 0.3561 eV per atom
N(E_F): 1.033 states/eV/atom
Relative energy among the computed polymorphs: 0.589 eV per atom
Calculated density: 14.9 g cm⁻³

```
NiIrW
1.0
-0.933 2.792 2.845
-3.535 -0.266 2.047
0.001 -1.035 3.961
W Ni Ir
1 1 1
Direct
0.500 0.500 0.500
0.000 0.000 0.000
0.250 0.250 0.250
```

=====

Density functional theory data (meta-GGA SCAN) for Ni2IrW at its PBEsol-relaxed geometry.

Properties
ΔH_f (0 K): -0.1225 eV per atom
N(E_F): 0.744 states/eV/atom
Calculated density: 16.1 g cm⁻³

```
Ni2IrW
1.0
-1.269 -0.435 -2.329
-3.029 -0.863 1.812
-1.490 4.978 -0.118
W Ni Ir
1 2 1
Direct
0.000 0.000 0.489
0.500 0.500 0.236
0.000 0.000 0.019
0.500 0.500 0.755
```

=====

Density functional theory data (meta-GGA SCAN) for Y2NiIr at its PBEsol-relaxed geometry.

Properties
ΔH_f (0 K): -0.7040 eV per atom
N(E_F): 0.525 states/eV/atom
Relative energy among the computed polymorphs: 0.033 eV per atom
Calculated density: 9.4 g cm⁻³

```
Y2NiIr
1.0
3.400 0.000 0.000
0.000 4.727 0.000
0.000 0.000 4.727
Ni Y Ir
1 2 1
Direct
0.500 0.000 0.000
0.000 0.000 0.500
0.000 0.500 0.000
0.500 0.500 0.500
```

=====

Density functional theory data (meta-GGA SCAN) for YNi2Ir at its PBEsol-relaxed geometry.

Properties
ΔH_f (0 K): -0.1497 eV per atom
N(E_F): 1.033 states/eV/atom
Calculated density: 11.2 g cm⁻³

```
YNi2Ir
1.0
3.873 0.000 0.000
0.000 3.873 0.000
-1.936 -1.936 3.933
Ni Ir Y
2 1 1
Direct
0.750 0.250 0.500
0.000 0.000 0.000
0.250 0.750 0.500
0.500 0.500 0.000
```

=====

Density functional theory data (meta-GGA SCAN) for YNiIr2 at its PBEsol-relaxed geometry.

Properties
ΔH_f (0 K): -0.1780 eV per atom
N(E_F): 0.659 states/eV/atom
Relative energy among the computed polymorphs: 0.025 eV per atom
Calculated density: 14.4 g cm⁻³

```
YNiIr2
1.0
2.881 0.000 0.000
0.000 4.530 0.000
-1.441 -2.265 4.715
Ir Y Ni
2 1 1
Direct
0.776 0.776 0.553
0.224 0.224 0.447
0.000 0.500 0.000
0.500 0.000 0.000
```

=====

Density functional theory data (meta-GGA SCAN) for YNiIr2 at its PBEsol-relaxed geometry.

Properties
ΔH_f (0 K): -0.2025 eV per atom
N(E_F): 1.002 states/eV/atom
Relative energy among the computed polymorphs: 0.000 eV per atom
Calculated density: 14.1 g cm⁻³

```
YNiIr2
1.0
2.831 0.000 0.000
0.000 3.844 0.000
0.000 0.000 5.758
Y Ni Ir
1 1 2
Direct
0.500 0.500 0.743
0.000 0.000 0.466
0.000 0.000 0.040
0.500 0.500 0.251
```

=====

Density functional theory data (meta-GGA SCAN) for Y2NiIr at its PBEsol-relaxed geometry.

Properties
ΔH_f (0 K): -0.7374 eV per atom
N(E_F): 0.570 states/eV/atom
Relative energy among the computed polymorphs: 0.000 eV per atom
Calculated density: 8.8 g cm⁻³

```
Y2NiIr
1.0
3.866 0.000 0.001
0.000 4.013 0.032
-1.932 -0.042 5.195
Y Ir Ni
2 1 1
Direct
0.732 0.625 0.464
0.019 0.125 0.037
0.448 0.625 0.897
0.301 0.125 0.601
```

=====

Density functional theory data (meta-GGA SCAN) for Y2NiIr at its PBEsol-relaxed geometry.

Properties
ΔH_f (0 K): -0.7265 eV per atom
N(E_F): 0.499 states/eV/atom
Relative energy among the computed polymorphs: 0.011 eV per atom
Calculated density: 9.4 g cm⁻³

```
Y2NiIr
1.0
4.752 0.000 0.000
2.376 4.115 0.000
2.376 1.372 3.880
Ir Y Ni
1 2 1
Direct
0.500 0.500 0.500
0.750 0.750 0.750
0.250 0.250 0.250
0.000 0.000 0.000
```